Record 1
The following is a DFT calculation (PBE-GGA) of CaTi4Pd3O12 after structural relaxation.

Geometry as extended XYZ:
```
20
Lattice="-1.872 -6.015 1.819 -0.897 4.168 4.982 -3.575 1.939 -5.144" Properties=species:S:1:pos:R:3 pbc="T T T"
Ti -0.936 -3.008 0.910
Ti -1.787 0.970 -2.572
Ti -3.172 0.046 0.829
Ti -0.448 2.084 2.491
O -2.928 -2.032 4.205
O -3.415 2.125 -2.548
O -1.700 1.877 4.033
O -2.692 -3.888 0.555
O -3.651 3.980 1.102
O -1.811 1.467 1.169
O -4.555 1.365 0.251
O -4.533 -1.374 0.489
O -1.789 -1.272 1.407
O -3.941 0.199 2.664
O -4.644 -1.784 -2.375
O -2.402 -0.107 -1.007
Ca 0.000 0.000 0.000
Pd -1.384 -0.923 3.401
Pd -2.236 3.054 -0.081
Pd -2.723 -2.038 -1.662
```

Values from the calculation:
SG = Im-3, No. 204
E_form (uncorrected) = -2.175 eV/atom



Record 2
The following is a DFT calculation (PBE-GGA) of Na3Th2TlTe6 after structural relaxation.

Geometry as extended XYZ:
```
12
Lattice="-1.802 -2.710 -3.246 -1.145 -6.882 6.380 -7.754 6.167 2.411" Properties=species:S:1:pos:R:3 pbc="T T T"
Te -6.616 -2.992 6.170
Te -10.248 -1.652 3.813
Te -6.165 0.213 3.244
Te -4.536 -3.638 2.300
Te -4.085 -0.433 -0.626
Te -0.452 -1.773 1.731
Tl -0.901 -1.355 -1.623
Na -1.474 -4.796 1.567
Na -7.047 0.851 -0.053
Na -3.654 -4.275 5.597
Th -7.523 -2.693 3.170
Th -3.177 -0.731 2.374
```

Values from the calculation:
SG = C2/m, No. 12
E_form (uncorrected) = -1.022 eV/atom



Record 3
The following is a DFT calculation (PBE-GGA) of Tb6Pm6Nd after structural relaxation.

Geometry as extended XYZ:
```
13
Lattice="6.623 0.272 0.000 -3.075 5.870 0.000 0.000 0.000 11.306" Properties=species:S:1:pos:R:3 pbc="T T T"
Pm 0.393 3.877 0.000
Pm 3.154 2.265 0.000
Pm 0.000 0.000 7.529
Pm -0.479 4.370 5.653
Pm 4.027 1.772 5.653
Pm 0.000 0.000 3.777
Tb 3.311 0.136 8.751
Tb 3.311 0.136 2.555
Tb 1.774 3.071 3.397
Tb -1.538 2.935 8.758
Tb -1.538 2.935 2.548
Tb 1.774 3.071 7.909
Nd 0.000 0.000 0.000
```

Values from the calculation:
SG = P2/m, No. 10
Formation energy from the elements = 0.216 eV/atom



Record 4
The following is a DFT calculation (PBE-GGA) of CsMg3Co after structural relaxation.

Geometry as extended XYZ:
```
5
Lattice="-1.181 -1.108 7.190 7.073 -1.879 0.872 1.702 7.040 1.364" Properties=species:S:1:pos:R:3 pbc="T T T"
Mg 3.536 -0.939 0.436
Mg 0.851 3.520 0.682
Mg -0.591 -0.554 3.595
Co 3.797 2.026 4.713
Cs 0.000 0.000 0.000
```

Values from the calculation:
SG = Pm-3m, No. 221
Formation energy from the elements = 1.750 eV/atom
Energy above the most stable polymorph in this dataset = 1425.2 meV per atom